VNF3 after structural relaxation. Source: the Alexandria database, functional PBE+U.

It has space group Pm-3m (No. 221), with a = 3.9810 Å, b = 3.9810 Å, c = 3.9810 Å, α = 90.00°, β = 90.00° and γ = 90.00°. Symmetry generates all atoms from V at (0.0000, 0.0000, 0.0000), N at (0.5000, 0.5000, 0.5000) and F at (0.0000, 0.0000, 0.5000).

The calculated total energy is -5.360 eV/atom. Its magnetic moment is 5.0 μB per cell. Its relative energy among the computed polymorphs is 0 meV/atom. For the density, the calculation gives 3.21 g cm⁻³.